# 1
This record from the Alexandria database describes a relaxed structure of Ba4NdPb3O12. The functional is PBE.

The structure in POSCAR format:
```
Ba4NdPb3O12
1.0
-1.861 -7.103 2.106
7.130 0.058 -2.740
-0.442 4.647 6.046
Ba Nd Pb O
4 1 3 12
Cartesian
2.413 -1.199 2.706 Ba
-0.221 2.323 3.023 Ba
-0.931 -3.551 1.053 Ba
3.565 0.029 -1.370 Ba
0.000 0.000 0.000 Nd
-1.152 -1.228 4.076 Pb
2.634 -3.522 -0.317 Pb
3.344 2.352 1.653 Pb
2.768 1.738 3.691 O
-1.705 -1.819 6.036 O
-0.598 -0.637 2.116 O
2.059 -4.136 1.721 O
3.901 -5.216 -0.469 O
1.367 -1.828 -0.165 O
0.166 -2.989 3.918 O
4.661 0.591 1.495 O
0.520 -0.052 4.903 O
4.952 3.483 2.449 O
4.306 -2.346 0.510 O
1.736 1.221 0.858 O
```

The space group is Im-3m (229). The uncorrected formation energy is -1.91 eV per atom.

---

# 2
This record from the Alexandria database describes a relaxed structure of Li2YZr. The functional is PBE.

The structure in POSCAR format:
```
Li2YZr
1.0
0.000 3.544 3.544
3.544 0.000 3.544
3.544 3.544 0.000
Y Zr Li
1 1 2
Cartesian
0.000 0.000 0.000 Y
3.544 3.544 3.544 Zr
1.772 1.772 1.772 Li
5.316 5.316 5.316 Li
```

For the energy above the most stable polymorph in this dataset, the calculation gives 169 meV/atom. The space group is Fm-3m (225). The energy relative to the elements comes out at 0.307 eV per atom.